LiSc4Ni3 | the Alexandria database | PBE | optimized geometry; symmetry = C2/m, No. 12; calculated density = 4.548 g cm⁻³; energy of formation from the pure elements = -356 meV/atom; electronic total energy = -5.929 eV per atom
1.0
-0.3924 3.1243 3.2885
-4.4903 0.2055 -0.7241
1.5351 -6.3042 3.0177
Sc Ni Li
4 3 1
direct
0.6290 0.6292 0.2583
0.8708 0.8710 0.7417
0.3710 0.3708 0.7417
0.1292 0.1290 0.2583
0.0000 0.5000 0.0000
0.2550 0.7549 0.5120
0.7450 0.2451 0.4880
0.5000 0.0000 0.0000

---

LaErHgAu | the Alexandria database | PBE | optimized geometry; energy above the most stable polymorph in this dataset = 0.0 meV per atom; symmetry = P4mm, No. 99; calculated density = 11.220 g cm⁻³; energy of formation from the pure elements = -659 meV/atom; electronic total energy = -3.927 eV per atom
1.0
3.6852 0.0000 0.0000
0.0000 3.6852 0.0000
0.0000 0.0000 7.6689
La Hg Er Au
1 1 1 1
direct
0.5000 0.5000 0.1149
0.0000 0.0000 0.8320
0.5000 0.5000 0.5906
0.0000 0.0000 0.3904

---

TmPuAlZn | the Alexandria database | PBE | optimized geometry; symmetry = F-43m, No. 216; calculated density = 9.212 g cm⁻³; energy of formation from the pure elements = -202 meV/atom; electronic total energy = -6.157 eV per atom
1.0
-2.5196 0.5237 -4.3456
-1.1243 -4.0684 -2.7732
-4.7862 -1.5739 -0.3494
Tm Pu Al Zn
1 1 1 1
direct
0.2500 0.2500 0.2500
0.7500 0.7500 0.7500
0.0000 0.0000 0.0000
0.5000 0.5000 0.5000

---

Li5Mg6Ir | the Alexandria database | PBE | optimized geometry; symmetry = C2/m, No. 12; calculated density = 2.717 g cm⁻³; energy of formation from the pure elements = -148 meV/atom; electronic total energy = -2.481 eV per atom
1.0
4.4324 0.0220 -1.2854
-0.9872 6.3172 -3.2893
-0.0336 0.1095 8.0778
Mg Ir Li
6 1 5
direct
0.8430 0.0728 0.6850
0.8432 0.6128 0.6854
0.5000 0.2087 0.0002
0.1570 0.9272 0.3150
0.1568 0.3872 0.3146
0.5000 0.7913 0.9998
0.0000 0.0000 0.0000
0.6763 0.1762 0.3524
0.0000 0.5000 0.0000
0.3379 0.3380 0.6762
0.6621 0.6620 0.3238
0.3237 0.8238 0.6476

---

CePm3Co8 | the Alexandria database | PBE | optimized geometry; symmetry = R3m, No. 160; calculated density = 9.230 g cm⁻³; energy of formation from the pure elements = -97 meV/atom; electronic total energy = -6.517 eV per atom
1.0
-3.8079 2.3764 2.4348
-2.9978 -2.6055 3.2094
2.8899 1.7409 8.1751
Pm Co Ce
3 8 1
direct
0.5004 0.5004 0.4989
0.9995 0.9995 0.0015
0.3750 0.3750 0.8750
0.4369 0.9368 0.1894
0.9368 0.4369 0.1894
0.9375 0.4392 0.6858
0.1879 0.1879 0.4362
0.4392 0.9375 0.6858
0.9375 0.9375 0.6858
0.6878 0.6878 0.9367
0.4369 0.4369 0.1894
0.8745 0.8745 0.3764

---

YMn2Pd | the Alexandria database | PBE | optimized geometry; symmetry = Fm-3m, No. 225; calculated density = 7.133 g cm⁻³; energy of formation from the pure elements = 91 meV/atom; electronic total energy = -7.408 eV per atom
1.0
0.0000 3.2874 3.2874
3.2874 0.0000 3.2874
3.2874 3.2874 0.0000
Y Pd Mn
1 1 2
direct
0.0000 0.0000 0.0000
0.5000 0.5000 0.5000
0.2500 0.2500 0.2500
0.7500 0.7500 0.7500

---

Sr2BrCl2 | the Alexandria database | PBE | optimized geometry; energy above the most stable polymorph in this dataset = 0.0 meV per atom; symmetry = I4/mmm, No. 139; calculated density = 3.117 g cm⁻³; electronic total energy = -3.635 eV per atom
1.0
4.9278 0.0000 0.0000
0.0000 4.9278 0.0000
2.4639 2.4639 7.1523
Br Cl Sr
1 2 2
direct
0.0000 0.0000 0.0000
0.2500 0.7500 0.5000
0.7500 0.2500 0.5000
0.6343 0.6343 0.7314
0.3657 0.3657 0.2686

---

BeAg2Rh | the Alexandria database | PBE | optimized geometry; symmetry = R-3m, No. 166; calculated density = 9.322 g cm⁻³; energy of formation from the pure elements = 237 meV/atom; electronic total energy = -3.958 eV per atom
1.0
-5.9851 6.4493 0.1458
-6.9078 4.9402 2.3049
-4.8762 6.8170 2.6807
Be Ag Rh
1 2 1
direct
0.2500 0.2500 0.2500
0.5086 0.5086 0.5086
0.9914 0.9914 0.9914
0.7500 0.7500 0.7500

---

Cd2InAg | the Alexandria database | PBE | optimized geometry; symmetry = C2/m, No. 12; calculated density = 8.329 g cm⁻³; energy of formation from the pure elements = 26 meV/atom; electronic total energy = -1.829 eV per atom
1.0
3.2546 0.0000 0.0000
-1.6273 2.6515 0.1169
0.0000 0.4253 10.3579
Ag Cd In
1 2 1
direct
0.0000 0.0000 0.5000
0.3133 0.6266 0.7273
0.6867 0.3734 0.2727
0.0000 0.0000 0.0000

---

Sm2Zn7Ir | the Alexandria database | PBE | optimized geometry; symmetry = P-4m2, No. 115; calculated density = 8.493 g cm⁻³; energy of formation from the pure elements = -318 meV/atom; electronic total energy = -3.040 eV per atom
1.0
-2.8817 2.5708 -1.3825
-2.6904 -1.5855 2.6594
3.0505 7.4757 7.5429
Sm Zn Ir
2 7 1
direct
0.5000 0.0000 0.7609
0.0000 0.5000 0.2391
0.5000 0.0000 0.3602
0.0000 0.0000 0.5000
0.0000 0.5000 0.8638
0.0000 0.5000 0.6398
0.5000 0.5000 0.5000
0.5000 0.0000 0.1362
0.0000 0.0000 0.0000
0.5000 0.5000 0.0000

---

| no. | Fermi-level density of states (states/eV per cell) |
| --- | --- |
| 1 | 6.29 |
| 2 | 4.40 |
| 3 | 6.98 |
| 4 | 4.76 |
| 5 | 16.93 |
| 6 | 5.92 |
| 7 | 1.20 |
| 8 | 2.40 |
| 9 | 1.66 |
| 10 | 6.45 |